No. 1
Computed, not measured: a geometry-optimized TbPr2Sm4Dy structure at the PBE level of DFT.

Summary:
Formation enthalpy at 0 K = 0.02 eV/atom

a = 5.1291 Å, b = 5.1397 Å, c = 10.2622 Å
α = 90.00°, β = 90.12°, γ = 90.00°
With the nearest neighbours (Å) after each atom.
Space group P2/m (No. 10)
One atom of each set of equivalent atoms:
Tb (0.0000, 0.0000, 0.0000)  8 Sm 3.62-3.64, 4 Pr 3.63
Pr (0.0000, 0.0000, 0.5000)  8 Sm 3.63, 4 Dy 3.63
Pr (0.5000, 0.5000, 0.0000)  8 Sm 3.63-3.64, 4 Tb 3.63
Sm (0.0002, 0.5000, 0.2509)  2 Dy 3.62-3.63, 4 Pr 3.63-3.64, 4 Sm 3.63, 2 Tb 3.64
Sm (0.4998, 0.0000, 0.2498)  2 Tb 3.62-3.63, 4 Pr 3.63, 4 Sm 3.63, 2 Dy 3.63
Dy (0.5000, 0.5000, 0.5000)  8 Sm 3.62-3.63, 4 Pr 3.63



No. 2
Computed, not measured: a geometry-optimized Th7Fe2Sn2 structure at the PBE level of DFT.

Summary:
Distance to the lowest polymorph of the same formula = 0 meV/atom
Formation enthalpy at 0 K = -0.21 eV/atom

a = 3.6836 Å, b = 16.3485 Å, c = 10.1596 Å
α = 90.00°, β = 90.00°, γ = 90.00°
With the nearest neighbours (Å) after each atom.
Space group Imm2 (No. 44)
One atom of each set of equivalent atoms:
Th (0.0000, 0.0000, 0.0000)  3 Sn 3.30-3.36, 2 Th 3.68
Th (0.0000, 0.1399, 0.4402)  2 Fe 2.86
Th (0.0000, 0.3198, 0.6339)  2 Fe 2.72
Th (0.0000, 0.3417, 0.2777)  2 Fe 2.79
Fe (0.0000, 0.2263, 0.9520)  6 Th 2.72-2.86
Sn (0.0000, 0.0000, 0.6747)  7 Th 3.30-3.34, 2 Sn 3.68
Sn (0.0000, 0.5000, 0.7771)  8 Th 3.29-3.37



- Which of these has the highest formation enthalpy at 0 K?
  TbPr2Sm4Dy



- Which formula does entry 1 have?
  TbPr2Sm4Dy



- Which formula does entry 2 have?
  Th7Fe2Sn2